Model a:
LuZnCuPd | PBE | relaxed

Lattice parameters (Å, degrees): 4.5802 4.5802 4.5802 60.00 60.00 60.00
Closest atoms and distances in Å follow each position.
Sites, in units of the cell vectors:
Zn 0.0000 0.0000 0.0000  4 Cu 2.80, 4 Lu 2.80
Lu 0.2500 0.2500 0.2500  4 Pd 2.80, 4 Zn 2.80
Pd 0.5000 0.5000 0.5000  4 Cu 2.80, 4 Lu 2.80
Cu 0.7500 0.7500 0.7500  4 Pd 2.80, 4 Zn 2.80

- Size of the total moment: 0.00 μB per formula unit
- Crystal system: cubic
- SG: F-43m (216)

Model b:
LuZnCuPd | PBE | relaxed

Lattice parameters (Å, degrees): 4.5651 4.5651 4.5651 60.00 60.00 60.00
Closest atoms and distances in Å follow each position.
Sites, in units of the cell vectors:
Lu 0.5000 0.5000 0.5000  4 Pd 2.80, 4 Cu 2.80
Cu 0.7500 0.7500 0.7500  4 Lu 2.80, 4 Zn 2.80
Zn 0.0000 0.0000 0.0000  4 Cu 2.80, 4 Pd 2.80
Pd 0.2500 0.2500 0.2500  4 Lu 2.80, 4 Zn 2.80

- Size of the total moment: 0.00 μB per formula unit
- Crystal system: cubic
- SG: F-43m (216)

Here are the energies relative to the best structure, in kJ/mol of atoms: model a 9.8; model b 0.0.

Model a:
LuCuSbPt | PBE | relaxed

Lattice parameters (Å, degrees): 4.7725 4.7725 4.7725 60.00 60.00 60.00
Closest atoms and distances in Å follow each position.
Sites, in units of the cell vectors:
Lu 0.2500 0.2500 0.2500  4 Pt 2.92, 4 Sb 2.92
Sb 0.0000 0.0000 0.0000  4 Cu 2.92, 4 Lu 2.92
Pt 0.5000 0.5000 0.5000  4 Cu 2.92, 4 Lu 2.92
Cu 0.7500 0.7500 0.7500  4 Pt 2.92, 4 Sb 2.92

- Size of the total moment: 0.00 μB per formula unit
- Crystal system: cubic
- SG: F-43m (216)

Model b:
LuCuSbPt | PBE | relaxed

Lattice parameters (Å, degrees): 4.7412 4.7412 4.7412 60.00 60.00 60.00
Closest atoms and distances in Å follow each position.
Sites, in units of the cell vectors:
Sb 0.0000 0.0000 0.0000  4 Pt 2.90, 4 Cu 2.90
Pt 0.2500 0.2500 0.2500  4 Sb 2.90, 4 Lu 2.90
Cu 0.7500 0.7500 0.7500  4 Lu 2.90, 4 Sb 2.90
Lu 0.5000 0.5000 0.5000  4 Cu 2.90, 4 Pt 2.90

- Size of the total moment: 0.00 μB per formula unit
- Crystal system: cubic
- SG: F-43m (216)

Here are the energies relative to the best structure, in kJ/mol of atoms: model a 13.9; model b 0.0.

Model a:
LuTlCuPt | PBE | relaxed

Lattice parameters (Å, degrees): 4.7502 4.7502 4.7502 60.00 60.00 60.00
Closest atoms and distances in Å follow each position.
Sites, in units of the cell vectors:
Pt 0.2500 0.2500 0.2500  4 Tl 2.91, 4 Lu 2.91
Cu 0.7500 0.7500 0.7500  4 Lu 2.91, 4 Tl 2.91
Tl 0.0000 0.0000 0.0000  4 Pt 2.91, 4 Cu 2.91
Lu 0.5000 0.5000 0.5000  4 Cu 2.91, 4 Pt 2.91

- Size of the total moment: 0.00 μB per formula unit
- Crystal system: cubic
- SG: F-43m (216)

Model b:
LuTlCuPt | PBE | relaxed

Lattice parameters (Å, degrees): 4.7645 4.7645 4.7645 60.00 60.00 60.00
Closest atoms and distances in Å follow each position.
Sites, in units of the cell vectors:
Tl 0.0000 0.0000 0.0000  4 Cu 2.92, 4 Lu 2.92
Cu 0.7500 0.7500 0.7500  4 Pt 2.92, 4 Tl 2.92
Lu 0.2500 0.2500 0.2500  4 Pt 2.92, 4 Tl 2.92
Pt 0.5000 0.5000 0.5000  4 Cu 2.92, 4 Lu 2.92

- Size of the total moment: 0.00 μB per formula unit
- Crystal system: cubic
- SG: F-43m (216)

Here are the energies relative to the best structure, in kJ/mol of atoms: model a 0.0; model b 11.4.

Model a:
LuZnCuPt | PBE | relaxed

Lattice parameters (Å, degrees): 4.5809 4.5809 4.5809 60.00 60.00 60.00
Closest atoms and distances in Å follow each position.
Sites, in units of the cell vectors:
Lu 0.2500 0.2500 0.2500  4 Pt 2.81, 4 Zn 2.81
Cu 0.7500 0.7500 0.7500  4 Zn 2.81, 4 Pt 2.81
Pt 0.5000 0.5000 0.5000  4 Lu 2.81, 4 Cu 2.81
Zn 0.0000 0.0000 0.0000  4 Cu 2.81, 4 Lu 2.81

- Size of the total moment: 0.00 μB per formula unit
- Crystal system: cubic
- SG: F-43m (216)

Model b:
LuZnCuPt | PBE | relaxed

Lattice parameters (Å, degrees): 4.5680 4.5680 4.5680 60.00 60.00 60.00
Closest atoms and distances in Å follow each position.
Sites, in units of the cell vectors:
Lu 0.5000 0.5000 0.5000  4 Cu 2.80, 4 Pt 2.80
Pt 0.2500 0.2500 0.2500  4 Lu 2.80, 4 Zn 2.80
Zn 0.0000 0.0000 0.0000  4 Cu 2.80, 4 Pt 2.80
Cu 0.7500 0.7500 0.7500  4 Zn 2.80, 4 Lu 2.80

- Size of the total moment: 0.00 μB per formula unit
- Crystal system: cubic
- SG: F-43m (216)

Here are the energies relative to the best structure, in kJ/mol of atoms: model a 10.2; model b 0.0.

Model a:
RbLu2CuTe3S | PBE | relaxed

Lattice parameters (Å, degrees): 7.7124 7.7124 14.7604 90.00 90.00 148.13
Closest atoms and distances in Å follow each position.
Sites, in units of the cell vectors:
Lu 0.6320 0.3680 0.9214  1 S 2.66, 2 Te 2.97
Lu 0.3680 0.6320 0.4214  1 S 2.66, 2 Te 2.97
Lu 0.6320 0.3680 0.5786  1 S 2.66, 2 Te 2.97
Lu 0.3680 0.6320 0.0785  1 S 2.66, 2 Te 2.97
S 0.4225 0.5775 0.2500  2 Cu 2.41, 2 Lu 2.66
S 0.5775 0.4225 0.7500  2 Cu 2.41, 2 Lu 2.66
Te 0.0000 0.0000 0.0000  4 Lu 3.11
Te 0.2682 0.7318 0.6112  1 Cu 2.64
Te 0.0000 0.0000 0.5000  4 Lu 3.11
Te 0.7318 0.2682 0.1112  1 Cu 2.64
Te 0.2682 0.7318 0.8888  1 Cu 2.64
Te 0.7318 0.2682 0.3888  1 Cu 2.64
Rb 0.9056 0.0945 0.7500  2 S 3.31, 4 Te 3.58, 1 Cu 3.71
Rb 0.0945 0.9056 0.2500  2 S 3.31, 4 Te 3.58, 1 Cu 3.71
Cu 0.8445 0.1555 0.2500  2 S 2.41, 2 Te 2.64
Cu 0.1555 0.8445 0.7500  2 S 2.41, 2 Te 2.64

- Size of the total moment: 0.00 μB per formula unit
- Crystal system: orthorhombic
- SG: Cmcm (63)

Model b:
RbLu2CuTe3S | PBE | relaxed

Lattice parameters (Å, degrees): 7.6075 7.6075 15.3402 90.00 90.00 148.15
Closest atoms and distances in Å follow each position.
Sites, in units of the cell vectors:
Te 0.2573 0.7427 0.8962  1 Cu 2.63
Te 0.5590 0.4410 0.7500  2 Cu 2.59
Te 0.2573 0.7427 0.6038  1 Cu 2.63
Te 0.7427 0.2573 0.3962  1 Cu 2.63
Te 0.4410 0.5590 0.2500  2 Cu 2.59
Te 0.7427 0.2573 0.1038  1 Cu 2.63
Cu 0.1640 0.8360 0.7500  4 Te 2.59-2.63
Cu 0.8360 0.1640 0.2500  4 Te 2.59-2.63
Lu 0.3830 0.6170 0.0606  2 S 2.86, 4 Te 3.00-3.12
Lu 0.6170 0.3830 0.9394  2 S 2.86, 4 Te 3.00-3.12
Lu 0.3830 0.6170 0.4394  2 S 2.86, 4 Te 3.00-3.12
Lu 0.6170 0.3830 0.5606  2 S 2.86, 4 Te 3.00-3.12
Rb 0.1257 0.8743 0.2500  6 Te 3.41-3.51, 2 Cu 3.72
Rb 0.8743 0.1257 0.7500  6 Te 3.41-3.51, 2 Cu 3.72
S 0.0000 0.0000 0.0000  4 Lu 2.86
S 0.0000 0.0000 0.5000  4 Lu 2.86

- Size of the total moment: 0.00 μB per formula unit
- Crystal system: orthorhombic
- SG: Cmcm (63)

Here are the energies relative to the best structure, in kJ/mol of atoms: model a 0.0; model b 5.2.

Model a:
LuZnCuRe | PBE | relaxed

Lattice parameters (Å, degrees): 4.5422 4.5422 4.5422 60.00 60.00 60.00
Closest atoms and distances in Å follow each position.
Sites, in units of the cell vectors:
Lu 0.5000 0.5000 0.5000  4 Cu 2.78, 4 Re 2.78
Re 0.2500 0.2500 0.2500  4 Lu 2.78, 4 Zn 2.78
Cu 0.7500 0.7500 0.7500  4 Lu 2.78, 4 Zn 2.78
Zn 0.0000 0.0000 0.0000  4 Cu 2.78, 4 Re 2.78

- Size of the total moment: 0.23 μB per formula unit
- Crystal system: cubic
- SG: F-43m (216)

Model b:
LuZnCuRe | PBE | relaxed

Lattice parameters (Å, degrees): 4.5680 4.5680 4.5680 60.00 60.00 60.00
Closest atoms and distances in Å follow each position.
Sites, in units of the cell vectors:
Cu 0.7500 0.7500 0.7500  4 Zn 2.80, 4 Re 2.80
Lu 0.2500 0.2500 0.2500  4 Re 2.80, 4 Zn 2.80
Re 0.5000 0.5000 0.5000  4 Lu 2.80, 4 Cu 2.80
Zn 0.0000 0.0000 0.0000  4 Cu 2.80, 4 Lu 2.80

- Size of the total moment: 0.90 μB per formula unit
- Crystal system: cubic
- SG: F-43m (216)

Here are the energies relative to the best structure, in kJ/mol of atoms: model a 0.0; model b 11.6.

Model a:
LuCuSiTc | PBE | relaxed

Lattice parameters (Å, degrees): 4.4388 4.4388 4.4388 60.00 60.00 60.00
Closest atoms and distances in Å follow each position.
Sites, in units of the cell vectors:
Tc 0.2500 0.2500 0.2500  4 Lu 2.72, 4 Si 2.72
Si 0.0000 0.0000 0.0000  4 Cu 2.72, 4 Tc 2.72
Lu 0.5000 0.5000 0.5000  4 Cu 2.72, 4 Tc 2.72
Cu 0.7500 0.7500 0.7500  4 Lu 2.72, 4 Si 2.72

- Size of the total moment: 0.01 μB per formula unit
- Crystal system: cubic
- SG: F-43m (216)

Model b:
LuCuSiTc | PBE | relaxed

Lattice parameters (Å, degrees): 4.5229 4.5229 4.5229 60.00 60.00 60.00
Closest atoms and distances in Å follow each position.
Sites, in units of the cell vectors:
Cu 0.7500 0.7500 0.7500  4 Tc 2.77, 4 Si 2.77
Si 0.0000 0.0000 0.0000  4 Cu 2.77, 4 Lu 2.77
Lu 0.2500 0.2500 0.2500  4 Tc 2.77, 4 Si 2.77
Tc 0.5000 0.5000 0.5000  4 Cu 2.77, 4 Lu 2.77

- Size of the total moment: 0.00 μB per formula unit
- Crystal system: cubic
- SG: F-43m (216)

Here are the energies relative to the best structure, in kJ/mol of atoms: model a 0.0; model b 38.6.

Model a:
SmLuCuTe3 | PBE | relaxed

Lattice parameters (Å, degrees): 8.6971 4.1688 9.3952 90.00 103.17 90.00
Closest atoms and distances in Å follow each position.
Sites, in units of the cell vectors:
Cu 0.0698 0.2500 0.5726  2 Cu 2.63, 4 Te 2.72-2.75
Cu 0.9302 0.7500 0.4274  2 Cu 2.63, 4 Te 2.72-2.75
Te 0.7496 0.2500 0.4897  3 Cu 2.72-2.75, 1 Lu 2.97
Te 0.5724 0.2500 0.8320  3 Lu 3.01-3.05, 2 Sm 3.19
Te 0.0884 0.2500 0.8679  1 Cu 2.74, 2 Lu 2.99
Te 0.4276 0.7500 0.1680  3 Lu 3.01-3.05, 2 Sm 3.19
Te 0.2504 0.7500 0.5103  3 Cu 2.72-2.75, 1 Lu 2.97
Te 0.9116 0.7500 0.1321  1 Cu 2.74, 2 Lu 2.99
Sm 0.8168 0.7500 0.7522  7 Te 3.15-3.47, 1 Cu 3.41
Sm 0.1832 0.2500 0.2478  7 Te 3.15-3.47, 1 Cu 3.41
Lu 0.3238 0.7500 0.8351  6 Te 2.97-3.05
Lu 0.6762 0.2500 0.1649  6 Te 2.97-3.05

- Size of the total moment: 0.01 μB per formula unit
- Crystal system: monoclinic
- SG: P2_1/m (11)

Model b:
SmLuCuTe3 | PBE | relaxed

Lattice parameters (Å, degrees): 7.4278 7.4278 10.9118 90.00 90.00 147.71
Closest atoms and distances in Å follow each position.
Sites, in units of the cell vectors:
Cu 0.4694 0.5306 0.7500  4 Te 2.64-2.70
Cu 0.5306 0.4694 0.2500  4 Te 2.64-2.70
Te 0.6463 0.3537 0.0613  1 Cu 2.64
Te 0.3537 0.6463 0.5613  1 Cu 2.64
Te 0.6463 0.3537 0.4387  1 Cu 2.64
Te 0.3537 0.6463 0.9387  1 Cu 2.64
Te 0.0916 0.9084 0.7500  2 Cu 2.70, 2 Lu 3.02
Te 0.9084 0.0916 0.2500  2 Cu 2.70, 2 Lu 3.02
Lu 0.0000 0.0000 0.0000  6 Te 3.01-3.02
Lu 0.0000 0.0000 0.5000  6 Te 3.01-3.02
Sm 0.7696 0.2304 0.7500  6 Te 3.15-3.27, 2 Cu 3.52
Sm 0.2304 0.7696 0.2500  6 Te 3.15-3.27, 2 Cu 3.52

- Size of the total moment: 0.02 μB per formula unit
- Crystal system: orthorhombic
- SG: Cmcm (63)

Here are the energies relative to the best structure, in kJ/mol of atoms: model a 0.0; model b 2.1.